Run one
Below is a geometry-optimized Na2LiCo structure, with properties calculated at the PBE-GGA level.

Cell lengths 7.0569, 7.0569, 7.0569 Å; angles 90.00, 90.00, 90.00 degrees
Last column: nearest neighbours and their distance in Å.
Space group Fm-3m (No. 225)
Symmetry-distinct sites (fractional):
Na 0.2500 0.2500 0.2500 x8  4 Li 3.06, 4 Co 3.06
Li 0.0000 0.0000 0.0000 x4  8 Na 3.06
Co 0.0000 0.0000 0.5000 x4  8 Na 3.06

Calculated values
DOS(E_F) in states/eV/f.u.: 11.38
Total magnetic moment in μB/cell: 5.90

---

Run two
Below is a geometry-optimized Na2LiCo structure, with properties calculated at the PBE-GGA level.

Cell lengths 8.0134, 8.0134, 5.7257 Å; angles 90.00, 90.00, 90.00 degrees
Last column: nearest neighbours and their distance in Å.
Space group I-42d (No. 122)
Symmetry-distinct sites (fractional):
Na 0.2422 0.2500 0.1250 x8  2 Na 2.87, 2 Co 2.88, 2 Li 2.97
Li 0.0000 0.0000 0.5000 x4  2 Co 2.86, 4 Na 2.97
Co 0.0000 0.0000 0.0000 x4  2 Li 2.86, 4 Na 2.88

Calculated values
DOS(E_F) in states/eV/f.u.: 5.54
Total magnetic moment in μB/cell: 6.20

---

From most stable to least stable, the computed energies give run one, run two.

---

Run one
Below is a geometry-optimized LiNb2Co2 structure, with properties calculated at the PBE-GGA level.

Cell lengths 3.5270, 3.5270, 12.9023 Å; angles 90.00, 90.00, 90.00 degrees
Last column: nearest neighbours and their distance in Å.
Space group I4/mmm (No. 139)
Symmetry-distinct sites (fractional):
Li 0.0000 0.0000 0.0000 x2  8 Nb 2.92
Nb 0.0000 0.0000 0.3821 x4  4 Co 2.45
Co 0.0000 0.5000 0.2500 x4  4 Nb 2.45, 4 Co 2.49

Calculated values
DOS(E_F) in states/eV/f.u.: 5.77
Total magnetic moment in μB/cell: 0.83

---

Run two
Below is a geometry-optimized LiNb2Co2 structure, with properties calculated at the PBE-GGA level.

Cell lengths 7.4359, 7.4359, 2.7339 Å; angles 90.00, 90.00, 90.00 degrees
Last column: nearest neighbours and their distance in Å.
Space group P4/mbm (No. 127)
Symmetry-distinct sites (fractional):
Li 0.0000 0.0000 0.0000 x2  2 Li 2.73, 4 Nb 2.82
Nb 0.1542 0.3458 0.0000 x4  6 Co 2.56-2.58, 2 Nb 2.73, 2 Li 2.82
Co 0.1403 0.6403 0.5000 x4  6 Nb 2.56-2.58, 2 Co 2.73

Calculated values
DOS(E_F) in states/eV/f.u.: 3.46
Total magnetic moment in μB/cell: 0.00

---

Run three
Below is a geometry-optimized LiNb2Co2 structure, with properties calculated at the PBE-GGA level.

Cell lengths 7.1097, 7.1097, 2.9222 Å; angles 90.00, 90.00, 90.00 degrees
Last column: nearest neighbours and their distance in Å.
Space group P4/mbm (No. 127)
Symmetry-distinct sites (fractional):
Li 0.0000 0.0000 0.0000 x2  4 Co 2.77, 2 Li 2.92, 8 Nb 3.03
Nb 0.1650 0.3350 0.5000 x4  6 Co 2.50-2.58
Co 0.1331 0.6331 0.0000 x4  6 Nb 2.50-2.58, 1 Co 2.68, 2 Li 2.77

Calculated values
DOS(E_F) in states/eV/f.u.: 3.02
Total magnetic moment in μB/cell: 0.00

---

From most stable to least stable, the computed energies give run three, run two, run one.

---

Run one
Below is a geometry-optimized LiNbCo3 structure, with properties calculated at the PBE-GGA level.

Cell lengths 3.8891, 3.8891, 3.8891 Å; angles 90.00, 90.00, 90.00 degrees
Last column: nearest neighbours and their distance in Å.
Space group Pm-3m (No. 221)
Symmetry-distinct sites (fractional):
Li 0.0000 0.0000 0.0000 x1  6 Co 1.94
Nb 0.5000 0.5000 0.5000 x1  12 Co 2.75
Co 0.0000 0.0000 0.5000 x3  2 Li 1.94

Calculated values
DOS(E_F) in states/eV/f.u.: 1.72
Total magnetic moment in μB/cell: 0.96

---

Run two
Below is a geometry-optimized LiNbCo3 structure, with properties calculated at the PBE-GGA level.

Cell lengths 4.5126, 4.5126, 4.5126 Å; angles 90.00, 90.00, 90.00 degrees
Last column: nearest neighbours and their distance in Å.
Space group Pm-3m (No. 221)
Symmetry-distinct sites (fractional):
Li 0.0000 0.0000 0.0000 x1  12 Co 3.19
Nb 0.5000 0.5000 0.5000 x1  6 Co 2.26
Co 0.0000 0.5000 0.5000 x3  2 Nb 2.26

Calculated values
DOS(E_F) in states/eV/f.u.: 3.72
Total magnetic moment in μB/cell: 1.49

---

From most stable to least stable, the computed energies give run one, run two.